{"formula": "Y2Si4Ni3Os", "functional": "PBE", "state": "relaxed", "sg": "No. 115", "cell": [[3.981, 0.000, 0.000], [0.000, 3.981, 0.000], [0.000, 0.000, 9.693]], "species": ["Ni", "Si", "Si", "Y", "Ni", "Y", "Ni", "Si", "Os", "Si"], "frac_coords": [[0.000, 0.000, 0.500], [0.500, 0.500, 0.000], [0.000, 0.500, 0.364], [0.000, 0.500, 0.759], [0.500, 0.000, 0.876], [0.500, 0.000, 0.241], [0.000, 0.500, 0.124], [0.000, 0.000, 0.000], [0.500, 0.500, 0.500], [0.500, 0.000, 0.636]]}

{"formula": "YSi2Ni2Os", "functional": "PBE", "state": "relaxed", "sg": "No. 123", "cell": [[-1.727, 4.117, 0.564], [-3.278, -1.725, 2.556], [3.051, 0.681, 4.371]], "species": ["Ni", "Os", "Ni", "Si", "Si", "Y"], "frac_coords": [[0.500, 0.500, 0.754], [0.000, 0.000, 0.000], [0.500, 0.500, 0.246], [0.500, 0.000, 0.000], [0.000, 0.500, 0.000], [0.000, 0.000, 0.500]]}

{"formula": "Zr2Si4Ni3Os", "functional": "PBE", "state": "relaxed", "sg": "No. 115", "cell": [[3.899, 0.000, 0.000], [0.000, 3.899, 0.000], [0.000, 0.000, 9.407]], "species": ["Si", "Si", "Zr", "Ni", "Si", "Si", "Ni", "Ni", "Os", "Zr"], "frac_coords": [[0.000, 0.000, 0.000], [0.000, 0.500, 0.358], [0.000, 0.500, 0.758], [0.000, 0.500, 0.122], [0.500, 0.500, 0.000], [0.500, 0.000, 0.642], [0.000, 0.000, 0.500], [0.500, 0.000, 0.878], [0.500, 0.500, 0.500], [0.500, 0.000, 0.242]]}

{"formula": "ZrSi2NiOs", "functional": "PBE", "state": "relaxed", "sg": "No. 123", "cell": [[4.184, 0.000, 0.000], [0.000, 4.823, 0.000], [0.000, 0.000, 4.184]], "species": ["Si", "Ni", "Zr", "Os", "Si"], "frac_coords": [[0.500, 0.000, 0.000], [0.000, 0.000, 0.000], [0.500, 0.500, 0.500], [0.000, 0.500, 0.000], [0.000, 0.000, 0.500]]}

{"formula": "Sm12Ni6Os", "functional": "PBE", "state": "relaxed", "sg": "No. 204", "delta_e_f_ev_per_atom": -0.20, "cell": [[-4.131, -6.471, 3.449], [2.931, -2.252, -7.561], [6.434, 2.188, 4.965]], "species": ["Sm", "Ni", "Sm", "Sm", "Ni", "Sm", "Sm", "Ni", "Sm", "Ni", "Ni", "Ni", "Sm", "Sm", "Sm", "Sm", "Os", "Sm", "Sm"], "frac_coords": [[0.181, 0.704, 0.885], [0.873, 0.373, 0.500], [0.523, 0.819, 0.704], [0.115, 0.819, 0.296], [0.500, 0.127, 0.627], [0.704, 0.523, 0.819], [0.704, 0.885, 0.181], [0.127, 0.627, 0.500], [0.819, 0.704, 0.523], [0.627, 0.500, 0.127], [0.500, 0.873, 0.373], [0.373, 0.500, 0.873], [0.296, 0.477, 0.181], [0.885, 0.181, 0.704], [0.296, 0.115, 0.819], [0.181, 0.296, 0.477], [0.000, 0.000, 0.000], [0.819, 0.296, 0.115], [0.477, 0.181, 0.296]]}

{"formula": "Sm8Ni2Os", "functional": "PBE", "state": "relaxed", "sg": "No. 8", "delta_e_f_ev_per_atom": -0.06, "cell": [[-1.549, -5.860, 1.574], [7.112, -1.003, -2.327], [-0.521, 3.440, 6.701]], "species": ["Sm", "Sm", "Sm", "Os", "Ni", "Sm", "Ni", "Sm", "Sm", "Sm", "Sm"], "frac_coords": [[0.173, 0.358, 0.358], [0.808, 0.648, 0.648], [0.986, 0.795, 0.206], [0.170, 0.004, 0.004], [0.488, 0.317, 0.695], [0.368, 0.660, 0.921], [0.488, 0.695, 0.317], [0.583, 0.347, 0.083], [0.986, 0.206, 0.795], [0.368, 0.921, 0.660], [0.583, 0.083, 0.347]]}

{"formula": "Sm6Ni2Os", "functional": "PBE", "state": "relaxed", "sg": "No. 71", "delta_e_f_ev_per_atom": -0.18, "cell": [[7.924, 0.125, -2.717], [-4.195, 6.787, -2.554], [0.076, -0.125, 8.376]], "species": ["Sm", "Sm", "Sm", "Sm", "Sm", "Sm", "Ni", "Ni", "Sm", "Sm", "Os", "Ni", "Sm", "Sm", "Sm", "Sm", "Os", "Ni"], "frac_coords": [[0.088, 0.260, 0.828], [0.820, 0.738, 0.558], [0.180, 0.262, 0.442], [0.912, 0.740, 0.172], [0.180, 0.738, 0.919], [0.568, 0.740, 0.828], [0.500, 0.617, 0.117], [0.326, 0.000, 0.326], [0.689, 0.357, 0.668], [0.311, 0.979, 0.668], [0.000, 0.000, 0.000], [0.674, 0.000, 0.674], [0.689, 0.021, 0.332], [0.432, 0.260, 0.172], [0.311, 0.643, 0.332], [0.820, 0.262, 0.081], [0.000, 0.500, 0.500], [0.500, 0.383, 0.883]]}

{"formula": "SmNiOs", "functional": "PBE", "state": "relaxed", "sg": "No. 74", "delta_e_f_ev_per_atom": -0.28, "cell": [[-3.458, -1.949, -3.203], [0.099, -5.240, -0.981], [-3.811, -3.161, 1.977]], "species": ["Sm", "Ni", "Ni", "Sm", "Os", "Os"], "frac_coords": [[0.121, 0.629, 0.629], [0.500, 0.500, 0.000], [0.500, 0.000, 0.500], [0.879, 0.371, 0.371], [0.500, 0.000, 0.000], [0.000, 0.000, 0.000]]}

no.,uncorrected energy (eV per atom),density of states at the Fermi level (states/eV/atom)
1,-7.148,0.344
2,-6.649,0.478
3,-7.501,0.357
4,-6.813,0.798
5,-5.594,0.978
6,-5.565,1.083
7,-5.860,0.988
8,-7.524,0.829